[1]
Here is a relaxed Ni3Os2 crystal from Alexandria via LeMat-Bulk. Energies are from PBE.

Cell and atoms, written as extended XYZ:
```
10
Lattice="7.423 -1.694 0.494 4.423 -2.681 4.231 1.953 -3.377 -2.954" Properties=species:S:1:pos:R:3 pbc="T T T"
Os 7.426 -4.952 -0.914
Os 6.096 -3.950 2.892
Ni 8.113 -3.631 1.355
Ni 6.452 -5.738 1.219
Ni 9.636 -5.374 0.302
Ni 3.526 -1.618 0.385
Os 4.178 -3.112 -1.630
Ni 5.885 -3.291 0.267
Os 9.868 -3.609 3.216
Ni 11.261 -5.423 2.205
```

Results
formation enthalpy at 0 K: 0.22 eV per atom
M_tot: 0.0 μB/cell
volume: 12.4 A^3/atom
E above lowest polymorph: 1.27 kcal/mol of atoms

=====

[2]
Here is a relaxed NiOs4 crystal from Alexandria via LeMat-Bulk. Energies are from PBE.

Cell and atoms, written as extended XYZ:
```
5
Lattice="-1.875 1.875 5.809 1.875 -1.875 5.809 1.875 1.875 -5.809" Properties=species:S:1:pos:R:3 pbc="T T T"
Os 0.000 1.875 2.905
Os 0.000 0.000 4.623
Ni 0.000 0.000 0.000
Os 0.000 0.000 6.996
Os 1.875 0.000 2.905
```

Results
formation enthalpy at 0 K: 0.84 eV per atom
M_tot: 0.0 μB/cell
volume: 16.3 A^3/atom
E above lowest polymorph: 15.89 kcal/mol of atoms

=====

[3]
Here is a relaxed Ni3Os crystal from Alexandria via LeMat-Bulk. Energies are from PBE.

Cell and atoms, written as extended XYZ:
```
4
Lattice="2.611 0.000 0.000 0.000 2.611 0.000 0.000 0.000 6.946" Properties=species:S:1:pos:R:3 pbc="T T T"
Ni 1.305 1.305 1.736
Os 1.305 1.305 5.209
Ni 0.000 0.000 3.424
Ni 0.000 0.000 0.049
```

Results
formation enthalpy at 0 K: 0.11 eV per atom
M_tot: 0.5 μB/cell
volume: 11.8 A^3/atom

=====

[4]
Here is a relaxed Ni3Os2 crystal from Alexandria via LeMat-Bulk. Energies are from PBE.

Cell and atoms, written as extended XYZ:
```
5
Lattice="2.035 -3.525 0.000 2.035 3.525 0.000 0.000 0.000 4.950" Properties=species:S:1:pos:R:3 pbc="T T T"
Ni 2.035 -1.175 3.051
Ni 0.000 0.000 0.000
Os 2.035 -1.175 0.618
Ni 2.035 1.175 1.899
Os 2.035 1.175 4.332
```

Results
formation enthalpy at 0 K: 0.51 eV per atom
M_tot: 0.0 μB/cell
volume: 14.2 A^3/atom
E above lowest polymorph: 7.85 kcal/mol of atoms

=====

[5]
Here is a relaxed Ni3Os crystal from Alexandria via LeMat-Bulk. Energies are from PBE.

Cell and atoms, written as extended XYZ:
```
4
Lattice="4.311 0.000 0.000 0.000 4.311 0.000 0.000 0.000 2.601" Properties=species:S:1:pos:R:3 pbc="T T T"
Ni 2.155 0.000 1.301
Ni 0.000 0.000 0.000
Os 0.000 2.155 1.301
Ni 2.155 2.155 0.000
```

Results
formation enthalpy at 0 K: 0.25 eV per atom
M_tot: 2.3 μB/cell
volume: 12.1 A^3/atom

=====

[6]
Here is a relaxed Ni3Os crystal from Alexandria via LeMat-Bulk. Energies are from PBE.

Cell and atoms, written as extended XYZ:
```
4
Lattice="-3.943 -1.040 1.709 1.710 -2.870 -3.521 1.062 -2.030 1.215" Properties=species:S:1:pos:R:3 pbc="T T T"
Os -0.661 -3.567 0.153
Ni -2.871 -3.067 2.920
Ni 0.279 -4.402 -2.063
Ni 0.783 -2.031 -1.310
```

Results
formation enthalpy at 0 K: 0.11 eV per atom
M_tot: 0.0 μB/cell
volume: 11.8 A^3/atom

=====

[7]
Here is a relaxed Ni3Os crystal from Alexandria via LeMat-Bulk. Energies are from PBE.

Cell and atoms, written as extended XYZ:
```
4
Lattice="-2.007 1.288 -0.908 1.605 -0.999 -1.713 -4.526 -7.116 -0.093" Properties=species:S:1:pos:R:3 pbc="T T T"
Os -1.332 -1.634 -1.334
Ni -2.300 -3.616 -0.047
Ni -3.595 -5.192 -1.381
Ni -4.489 -7.058 -0.093
```

Results
formation enthalpy at 0 K: 0.28 eV per atom
M_tot: 0.6 μB/cell
volume: 12.2 A^3/atom

=====

[8]
Here is a relaxed Ni3Os crystal from Alexandria via LeMat-Bulk. Energies are from PBE.

Cell and atoms, written as extended XYZ:
```
8
Lattice="5.111 0.004 0.000 0.022 5.111 0.000 0.000 0.000 3.607" Properties=species:S:1:pos:R:3 pbc="T T T"
Ni 0.627 0.625 2.705
Os 3.199 3.189 2.705
Os 1.933 1.926 0.902
Ni 4.505 4.490 0.902
Ni 4.515 1.922 0.902
Ni 1.938 4.508 0.902
Ni 3.194 0.607 2.705
Ni 0.617 3.192 2.705
```

Results
formation enthalpy at 0 K: 0.07 eV per atom
M_tot: 0.0 μB/cell
volume: 11.8 A^3/atom